No. 1
First-principles (SCAN) data for a crystal of SrTl2Ni relaxed with PBEsol, as listed in Alexandria.

Cell lengths 5.898, 5.898, 5.898 Å; angles 144.23, 124.18, 68.09 degrees
Fractional positions:
Sr  0.000  0.000  0.000
Tl  0.300  0.800  0.500
Tl  0.700  0.200  0.500
Ni  0.500  0.500  0.000

Properties
ΔE_f (eV per atom): -0.063
Calculated total energy (eV/atom): -45.85
Magnetic moment (μB/f.u.): 0.000

No. 2
First-principles (SCAN) data for a crystal of SrTlNi2 relaxed with PBEsol, as listed in Alexandria.

Cell lengths 5.713, 5.713, 5.713 Å; angles 45.29, 45.29, 45.29 degrees
Fractional positions:
Sr  0.000  0.000  0.000
Tl  0.500  0.500  0.500
Ni  0.186  0.186  0.186
Ni  0.814  0.814  0.814

Properties
E above lowest polymorph (meV per atom): 0
ΔE_f (eV per atom): -0.059
Calculated total energy (eV/atom): -31.80
Magnetic moment (μB/f.u.): 0.000

No. 3
First-principles (SCAN) data for a crystal of SrTlNi2 relaxed with PBEsol, as listed in Alexandria.

Cell lengths 3.261, 3.261, 7.198 Å; angles 90.00, 90.00, 90.00 degrees
Fractional positions:
Sr  0.000  0.000  0.000
Tl  0.500  0.500  0.359
Ni  0.000  0.000  0.604
Ni  0.500  0.500  0.716

Properties
E above lowest polymorph (meV per atom): 245
ΔE_f (eV per atom): 0.186
Calculated total energy (eV/atom): -31.56
Magnetic moment (μB/f.u.): 0.681

No. 4
First-principles (SCAN) data for a crystal of SrTlNi2 relaxed with PBEsol, as listed in Alexandria.

Cell lengths 5.451, 5.451, 5.451 Å; angles 136.90, 136.90, 62.60 degrees
Fractional positions:
Sr  0.000  0.000  0.000
Tl  0.750  0.250  0.500
Ni  0.250  0.750  0.500
Ni  0.500  0.500  0.000

Properties
E above lowest polymorph (meV per atom): 443
ΔE_f (eV per atom): 0.384
Calculated total energy (eV/atom): -31.36
Magnetic moment (μB/f.u.): 0.002

No. 5
First-principles (SCAN) data for a crystal of SrNi2W relaxed with PBEsol, as listed in Alexandria.

Cell lengths 2.790, 3.395, 7.113 Å; angles 90.00, 90.00, 90.00 degrees
Fractional positions:
Sr  0.000  0.000  0.000
Ni  0.000  0.000  0.536
Ni  0.500  0.500  0.701
W  0.500  0.500  0.363

Properties
E above lowest polymorph (meV per atom): 279
ΔE_f (eV per atom): 0.632
Calculated total energy (eV/atom): -30.45
Magnetic moment (μB/f.u.): 0.000

No. 6
First-principles (SCAN) data for a crystal of SrNi2W relaxed with PBEsol, as listed in Alexandria.

Cell lengths 2.918, 3.264, 7.072 Å; angles 90.00, 90.00, 90.00 degrees
Fractional positions:
Sr  0.000  0.000  0.000
Ni  0.500  0.500  0.321
Ni  0.500  0.500  0.679
W  0.000  0.000  0.500

Properties
E above lowest polymorph (meV per atom): 0
ΔE_f (eV per atom): 0.353
Calculated total energy (eV/atom): -30.72
Magnetic moment (μB/f.u.): 0.000

No. 7
First-principles (SCAN) data for a crystal of SrNi2W relaxed with PBEsol, as listed in Alexandria.

Cell lengths 5.732, 5.732, 5.732 Å; angles 152.62, 132.14, 56.01 degrees
Fractional positions:
Sr  0.000  0.000  0.000
Ni  0.512  0.512  0.000
Ni  0.725  0.225  0.500
W  0.292  0.792  0.500

Properties
E above lowest polymorph (meV per atom): 391
ΔE_f (eV per atom): 0.744
Calculated total energy (eV/atom): -30.33
Magnetic moment (μB/f.u.): 0.002

No. 8
First-principles (SCAN) data for a crystal of SrY2Ni relaxed with PBEsol, as listed in Alexandria.

Cell lengths 3.942, 5.154, 5.162 Å; angles 90.00, 90.00, 90.00 degrees
Fractional positions:
Sr  0.000  0.000  0.000
Y  0.000  0.500  0.500
Y  0.500  0.500  0.000
Ni  0.500  0.000  0.500

Properties
ΔE_f (eV per atom): 0.402
Calculated total energy (eV/atom): -23.13
Magnetic moment (μB/f.u.): 0.015